## Rb3Cd2Br8 (GGA-PBE)

Data for a geometry-optimized Rb3Cd2Br8 structure.

Calculated values
- E_form (uncorrected): -1.1393 eV per atom
- Magnetic moment: 0.0 μB per formula unit
- ρ: 3.6 g cm⁻³

```
data_Rb3Cd2Br8
_space_group_name_H-M_alt 'R -3 m'
_space_group_IT_number 166
_space_group_name_Hall '-R 3 2"'
_cell_length_a 7.7259
_cell_length_b 7.7259
_cell_length_c 30.0964
_cell_angle_alpha 90.00
_cell_angle_beta 90.00
_cell_angle_gamma 120.00
loop_
_atom_site_label
_atom_site_type_symbol
_atom_site_fract_x
_atom_site_fract_y
_atom_site_fract_z
Rb1 Rb 0.0000 0.0000 0.0000
Rb2 Rb 0.0000 0.0000 0.2044
Cd1 Cd 0.0000 0.0000 0.4018
Br1 Br 0.0000 0.0000 0.3162
Br2 Br 0.0260 0.5130 0.7702
```